# 1
The following is a DFT calculation (GGA-PBE) of a relaxed CoAg2W crystal.

Cell lengths 4.678, 4.678, 4.678 Å; angles 128.45, 128.45, 75.90 degrees
Element x y z (fractional)
Ag: 0.250 0.750 0.500
Ag: 0.000 0.000 0.000
W: 0.750 0.250 0.500
Co: 0.500 0.500 0.000

Output
Calculated formation energy   0.727 eV/atom
DOS(E_F)   3.0 states/eV/f.u.
Total moment   0.248 μB/atom
SG   I-4m2, No. 119

=====

# 2
The following is a DFT calculation (GGA-PBE) of a relaxed CsSb crystal.

Cell lengths 6.314, 4.581, 12.638 Å; angles 90.00, 90.00, 90.00 degrees
Element x y z (fractional)
Sb: 0.500 0.250 0.071
Sb: 0.000 0.250 0.429
Sb: 0.500 0.750 0.929
Sb: 0.000 0.750 0.571
Cs: 0.000 0.250 0.858
Cs: 0.500 0.250 0.642
Cs: 0.000 0.750 0.142
Cs: 0.500 0.750 0.358

Output
Formation energy (no corrections)   -0.424 eV/atom
DOS(E_F)   0.6 states/eV/f.u.
Total moment   0.000 μB/atom
SG   Imma, No. 74

=====

# 3
The following is a DFT calculation (GGA-PBE) of a relaxed CaTiTcC2 crystal.

Cell lengths 4.151, 4.714, 4.151 Å; angles 90.00, 90.00, 90.00 degrees
Element x y z (fractional)
Tc: 0.000 0.000 0.000
Ti: 0.000 0.500 0.000
C: 0.000 0.000 0.500
C: 0.500 0.000 0.000
Ca: 0.500 0.500 0.500

Output
Calculated formation energy   1.147 eV/atom
DOS(E_F)   3.4 states/eV/f.u.
Total moment   0.291 μB/atom
SG   P4/mmm, No. 123

=====

# 4
The following is a DFT calculation (GGA-PBE) of a relaxed Dy6Mn2Cd crystal.

Cell lengths 8.412, 8.412, 8.412 Å; angles 107.82, 109.63, 110.98 degrees
Element x y z (fractional)
Dy: 0.291 0.602 0.312
Dy: 0.219 0.227 0.446
Dy: 0.903 0.713 0.189
Dy: 0.781 0.773 0.554
Dy: 0.476 0.287 0.189
Dy: 0.097 0.287 0.811
Dy: 0.709 0.021 0.312
Dy: 0.709 0.398 0.688
Dy: 0.781 0.227 0.008
Dy: 0.524 0.713 0.811
Dy: 0.291 0.979 0.688
Dy: 0.219 0.773 0.992
Mn: 0.500 0.605 0.105
Mn: 0.610 0.000 0.610
Mn: 0.500 0.395 0.895
Mn: 0.390 0.000 0.390
Cd: 0.000 0.000 0.000
Cd: 0.000 0.500 0.500

Output
Calculated formation energy   -0.024 eV/atom
DOS(E_F)   9.4 states/eV/f.u.
Total moment   0.192 μB/atom
SG   Immm, No. 71

=====

> The lowest DOS(E_F) belongs to which entry?

CsSb